Density functional theory data (PBE) for a relaxed structure of TbDy2Cu4Pb4.

Lattice parameters (Å, degrees): 8.6096 8.6096 8.6096 149.27 131.46 58.55
Fractional positions:
1 Cu 0.6421 0.3294 0.3127
2 Cu 0.9832 0.6706 0.3127
3 Cu 0.3579 0.6706 0.6873
4 Cu 0.0168 0.3294 0.6873
5 Dy 0.6317 0.1317 0.5000
6 Dy 0.3683 0.8683 0.5000
7 Pb 0.2165 0.2165 0.0000
8 Pb 0.7835 0.7835 0.0000
9 Pb 0.7080 0.5000 0.2080
10 Pb 0.2920 0.5000 0.7920
11 Tb 0.0000 0.0000 0.0000

Calculated values
Final energy (eV/atom): -4.2226
Theoretical density (Mg/m³): 10.730